Here is an optimized crystal structure of TiBe17Cu from the Alexandria database. Energies are from PBE.

Cell: 7.2912 7.2912 10.7880 Å, 90.00 90.00 120.00°
Space group R3m (No. 160, hexagonal axes)
Symmetry-distinct sites (fractional):
Ti: 0.0000 0.0000 0.0000 [3 per cell]
Be: 0.0000 0.0000 0.5608 [3 per cell]
Be: 0.0000 0.0000 0.7616 [3 per cell]
Be: 0.0025 0.5013 0.8180 [9 per cell]
Be: 0.0324 0.3612 0.3296 [18 per cell]
Be: 0.1691 0.3382 0.8365 [9 per cell]
Be: 0.1732 0.3464 0.5021 [9 per cell]
Cu: 0.0000 0.0000 0.2948 [3 per cell]

Values from the calculation:
energy of formation from the pure elements	-0.09	eV per atom
calculated density	2.65	g cm⁻³
M_tot	0.0	Bohr magnetons per cell